This record from Alexandria via LeMat-Bulk describes a relaxed structure of TbLuPuCd. The functional is PBE.

Cell lengths 5.368, 5.368, 5.368 Å; angles 60.00, 60.00, 60.00 degrees
Atoms (fractional coordinates):
Tb: 0.000 0.000 0.000
Lu: 0.500 0.500 0.500
Pu: 0.250 0.250 0.250
Cd: 0.750 0.750 0.750

VASP energy	-24.1	eV for the cell shown
density of states at the Fermi level	13.143	states/eV per cell
DFT formation energy	7.5	kJ/mol of atoms